1.
Compound: Cr2Co2Pt
Source: Alexandria via LeMat-Bulk
Functional: PBE
Structure: optimized geometry

Energy above the most stable polymorph in this dataset ... 12.6 kJ/mol of atoms
Formation energy ... 0.7 eV/f.u.
Crystal system ... tetragonal

Lattice parameters (Å, degrees): 6.8348 6.8348 2.6017 90.00 90.00 90.00
With the nearest neighbours (Å) after each atom.
Positions (direct):
Cr: 0.3839 0.8839 0.0000  1 Cr 2.24, 6 Co 2.40-2.41
Cr: 0.8839 0.6161 0.0000  1 Cr 2.24, 6 Co 2.40-2.41
Cr: 0.6161 0.1161 0.0000  1 Cr 2.24, 6 Co 2.40-2.41
Cr: 0.1161 0.3839 0.0000  1 Cr 2.24, 6 Co 2.40-2.41
Co: 0.1740 0.6740 0.5000  6 Cr 2.40-2.41, 2 Co 2.60
Co: 0.6740 0.8260 0.5000  6 Cr 2.40-2.41, 2 Co 2.60
Co: 0.8260 0.3260 0.5000  6 Cr 2.40-2.41, 2 Co 2.60
Co: 0.3260 0.1740 0.5000  6 Cr 2.40-2.41, 2 Co 2.60
Pt: 0.0000 0.0000 0.0000  2 Pt 2.60, 4 Cr 2.74, 8 Co 2.84
Pt: 0.5000 0.5000 0.0000  2 Pt 2.60, 4 Cr 2.74, 8 Co 2.84

***

2.
Compound: V2AuBr
Source: Alexandria via LeMat-Bulk
Functional: PBE
Structure: optimized geometry

Energy above the most stable polymorph in this dataset ... 0.0 kJ/mol of atoms
Formation energy from raw total energies ... 0.520 eV/atom
Crystal system ... cubic

Lattice parameters (Å, degrees): 4.4998 4.4998 4.4998 60.00 60.00 60.00
With the nearest neighbours (Å) after each atom.
Positions (direct):
Au: 0.5000 0.5000 0.5000  8 V 2.76
Br: 0.0000 0.0000 0.0000  8 V 2.76
V: 0.2500 0.2500 0.2500  4 Br 2.76, 4 Au 2.76
V: 0.7500 0.7500 0.7500  4 Br 2.76, 4 Au 2.76

***

3.
Compound: Sr2Tl3TcO6
Source: Alexandria via LeMat-Bulk
Functional: PBE
Structure: optimized geometry

Formation energy from raw total energies ... -1.546 eV/atom
Crystal system ... monoclinic

Lattice parameters (Å, degrees): 6.1517 6.1517 6.6192 98.42 98.42 119.78
With the nearest neighbours (Å) after each atom.
Positions (direct):
Sr: 0.3326 0.6674 0.0000  6 O 2.50-2.60
Sr: 0.6674 0.3326 0.0000  6 O 2.50-2.60
Tl: 0.1618 0.8382 0.5000  4 O 2.66-2.78
Tl: 0.8382 0.1618 0.5000  4 O 2.66-2.78
Tl: 0.5000 0.5000 0.5000  6 O 2.81-3.05
Tc: 0.0000 0.0000 0.0000  6 O 1.99-2.09
O: 0.9388 0.6728 0.8277  1 Tc 1.99
O: 0.7920 0.7920 0.1994  1 Tc 2.09
O: 0.0612 0.3272 0.1723  1 Tc 1.99
O: 0.6728 0.9388 0.8277  1 Tc 1.99
O: 0.2080 0.2080 0.8006  1 Tc 2.09
O: 0.3272 0.0612 0.1723  1 Tc 1.99

***

4.
Compound: SrCoP2
Source: Alexandria via LeMat-Bulk
Functional: PBE
Structure: optimized geometry

Energy above the most stable polymorph in this dataset ... 6.6 kJ/mol of atoms
Formation energy ... -2.4 eV/f.u.
Crystal system ... tetragonal

Lattice parameters (Å, degrees): 4.7709 4.7709 7.9978 72.65 72.65 90.00
With the nearest neighbours (Å) after each atom.
Positions (direct):
Sr: 0.0000 0.0000 0.0000  8 P 3.22, 4 Co 3.37
Sr: 0.7500 0.2500 0.5000  8 P 3.22, 4 Co 3.37
Co: 0.5000 0.5000 0.0000  4 P 2.17
Co: 0.2500 0.7500 0.5000  4 P 2.17
P: 0.3750 0.1250 0.2500  2 Co 2.17, 2 P 2.39
P: 0.3750 0.6250 0.2500  2 Co 2.17, 2 P 2.39
P: 0.3750 0.6250 0.7500  2 Co 2.17, 2 P 2.39
P: 0.8750 0.6250 0.7500  2 Co 2.17, 2 P 2.39

***

5.
Compound: TaIr2OsW
Source: Alexandria via LeMat-Bulk
Functional: PBE
Structure: optimized geometry

Formation energy ... 11.0 eV/f.u.
Crystal system ... tetragonal

Lattice parameters (Å, degrees): 4.6830 4.6613 4.6830 90.00 90.00 90.00
With the nearest neighbours (Å) after each atom.
Positions (direct):
Ir: 0.0000 0.0000 0.5000  2 Ta 2.34
Ir: 0.5000 0.0000 0.0000  2 Ta 2.34
Os: 0.0000 0.5000 0.0000  2 Ta 2.33
W: 0.5000 0.5000 0.5000  8 Ir 3.30, 4 Os 3.31
Ta: 0.0000 0.0000 0.0000  2 Os 2.33, 4 Ir 2.34

***

6.
Compound: NaHg2Rh
Source: Alexandria via LeMat-Bulk
Functional: PBE
Structure: optimized geometry

Energy above the most stable polymorph in this dataset ... 0.6 kJ/mol of atoms
Formation energy ... 0.0 eV/f.u.
Crystal system ... tetragonal

Lattice parameters (Å, degrees): 3.2362 3.2362 7.7782 90.00 90.00 90.00
With the nearest neighbours (Å) after each atom.
Positions (direct):
Na: 0.5000 0.5000 0.5000  8 Hg 3.16, 4 Na 3.24
Rh: 0.5000 0.5000 0.0000  8 Hg 2.85
Hg: 0.0000 0.0000 0.7806  4 Rh 2.85, 4 Na 3.16
Hg: 0.0000 0.0000 0.2194  4 Rh 2.85, 4 Na 3.16

***

7.
Compound: BaCdOs
Source: Alexandria via LeMat-Bulk
Functional: PBE
Structure: optimized geometry

Formation energy ... 2.1 eV/f.u.
Crystal system ... tetragonal

Lattice parameters (Å, degrees): 6.2865 6.2865 3.7096 72.84 72.84 34.32
With the nearest neighbours (Å) after each atom.
Positions (direct):
Os: 0.7086 0.7086 0.2914  4 Cd 2.76
Ba: 0.0071 0.0072 0.9929  1 Cd 3.17, 5 Os 3.41-3.49
Cd: 0.2843 0.2842 0.7157  4 Os 2.76

***

8.
Compound: Ca2SnPbS
Source: Alexandria via LeMat-Bulk
Functional: PBE
Structure: optimized geometry

Formation energy from raw total energies ... 0.063 eV/atom
Crystal system ... tetragonal

Lattice parameters (Å, degrees): 5.9867 5.4220 5.9867 90.00 90.00 90.00
With the nearest neighbours (Å) after each atom.
Positions (direct):
Pb: 0.0000 0.0000 0.0000  2 Sn 2.71, 4 Ca 2.99
Ca: 0.0000 0.0000 0.5000  2 Pb 2.99
Ca: 0.5000 0.0000 0.0000  2 Pb 2.99
S: 0.5000 0.5000 0.5000  8 Ca 4.04, 4 Sn 4.23
Sn: 0.0000 0.5000 0.0000  2 Pb 2.71

***

9.
Compound: Mg3In3Cu2Pd
Source: Alexandria via LeMat-Bulk
Functional: PBE
Structure: optimized geometry

Formation energy ... -1.8 eV/f.u.
Crystal system ... hexagonal

Lattice parameters (Å, degrees): 3.2562 7.7621 7.7621 120.00 90.00 90.00
With the nearest neighbours (Å) after each atom.
Positions (direct):
Mg: 0.5000 0.7232 0.0000  2 Pd 2.70, 2 Cu 2.83
Mg: 0.5000 0.0000 0.7232  2 Pd 2.70, 2 Cu 2.83
Mg: 0.5000 0.2768 0.2768  2 Pd 2.70, 2 Cu 2.83
In: 0.0000 0.6198 0.6198  4 Cu 2.92, 1 Pd 2.95, 6 Mg 3.10-3.12, 2 In 3.26
In: 0.0000 0.0000 0.3802  4 Cu 2.92, 1 Pd 2.95, 6 Mg 3.10-3.12, 2 In 3.26
In: 0.0000 0.3802 0.0000  4 Cu 2.92, 1 Pd 2.95, 6 Mg 3.10-3.12, 2 In 3.26
Cu: 0.5000 0.6667 0.3333  3 Mg 2.83, 6 In 2.92
Cu: 0.5000 0.3333 0.6667  3 Mg 2.83, 6 In 2.92
Pd: 0.0000 0.0000 0.0000  6 Mg 2.70, 3 In 2.95

***

10.
Compound: AcYZr
Source: Alexandria via LeMat-Bulk
Functional: PBE
Structure: optimized geometry

Energy above the most stable polymorph in this dataset ... 0.0 kJ/mol of atoms
Formation energy ... 0.2 eV/f.u.
Crystal system ... tetragonal

Lattice parameters (Å, degrees): 3.8628 3.8628 13.4124 90.00 90.00 90.00
With the nearest neighbours (Å) after each atom.
Positions (direct):
Ac: 0.0000 0.5000 0.6069  4 Y 3.83, 8 Ac 3.86-3.96
Ac: 0.5000 0.0000 0.3931  4 Y 3.83, 8 Ac 3.86-3.96
Y: 0.5000 0.0000 0.8072  5 Zr 3.22-3.36
Y: 0.0000 0.5000 0.1928  5 Zr 3.22-3.36
Zr: 0.0000 0.5000 0.9525  4 Zr 3.01, 5 Y 3.22-3.36
Zr: 0.5000 0.0000 0.0475  4 Zr 3.01, 5 Y 3.22-3.36

***

11.
Compound: NaCuNi2Ge
Source: Alexandria via LeMat-Bulk
Functional: PBE
Structure: optimized geometry

Formation energy ... 7.8 eV/f.u.
Crystal system ... tetragonal

Lattice parameters (Å, degrees): 4.3556 4.7733 4.3556 90.00 90.00 90.00
With the nearest neighbours (Å) after each atom.
Positions (direct):
Ni: 0.0000 0.0000 0.5000  2 Na 2.18
Ni: 0.5000 0.0000 0.0000  2 Na 2.18
Ge: 0.0000 0.5000 0.0000  2 Na 2.39
Cu: 0.5000 0.5000 0.5000  4 Ge 3.08, 8 Ni 3.23
Na: 0.0000 0.0000 0.0000  4 Ni 2.18, 2 Ge 2.39

***

12.
Compound: CrGaNi3
Source: Alexandria via LeMat-Bulk
Functional: PBE
Structure: optimized geometry

Energy above the most stable polymorph in this dataset ... 23.2 kJ/mol of atoms
Formation energy ... 5.2 eV/f.u.
Crystal system ... cubic

Lattice parameters (Å, degrees): 4.2706 4.2706 4.2706 90.00 90.00 90.00
With the nearest neighbours (Å) after each atom.
Positions (direct):
Ni: 0.0000 0.5000 0.0000  2 Cr 2.14
Ni: 0.0000 0.0000 0.5000  2 Cr 2.14
Ni: 0.5000 0.0000 0.0000  2 Cr 2.14
Ga: 0.5000 0.5000 0.5000  12 Ni 3.02
Cr: 0.0000 0.0000 0.0000  6 Ni 2.14

***

13.
Compound: Sm8NiRh3Cl4
Source: Alexandria via LeMat-Bulk
Functional: PBE
Structure: optimized geometry

Formation energy from raw total energies ... -1.118 eV/atom
Crystal system ... trigonal

Lattice parameters (Å, degrees): 8.0610 8.8129 8.0602 117.23 120.00 90.00
With the nearest neighbours (Å) after each atom.
Positions (direct):
Sm: 0.2320 0.7019 0.9701  1 Ni 2.75, 2 Rh 2.79
Sm: 0.2320 0.7019 0.4640  1 Ni 2.75, 2 Rh 2.79
Sm: 0.2643 0.2932 0.5287  3 Rh 2.79
Sm: 0.7381 0.7019 0.9701  1 Ni 2.75, 2 Rh 2.79
Sm: 0.2619 0.2981 0.0299  1 Ni 2.75, 2 Rh 2.79
Sm: 0.7357 0.7068 0.4713  3 Rh 2.79
Sm: 0.7680 0.2981 0.5360  1 Ni 2.75, 2 Rh 2.79
Sm: 0.7680 0.2981 0.0299  1 Ni 2.75, 2 Rh 2.79
Ni: 0.0000 0.5000 0.0000  6 Sm 2.75
Rh: 0.5000 0.5000 0.0000  6 Sm 2.79
Rh: 0.5000 0.5000 0.5000  6 Sm 2.79
Rh: 0.0000 0.5000 0.5000  6 Sm 2.79
Cl: 0.5000 0.0000 0.0000  6 Sm 3.24
Cl: 0.5000 0.0000 0.5000  6 Sm 3.20-3.21
Cl: 0.0000 0.0000 0.0000  6 Sm 3.20-3.21
Cl: 0.0000 0.0000 0.5000  6 Sm 3.20-3.21

***

14.
Compound: Dy4PbAu5
Source: Alexandria via LeMat-Bulk
Functional: PBE
Structure: optimized geometry

Formation energy ... -7.5 eV/f.u.
Crystal system ... tetragonal

Lattice parameters (Å, degrees): 3.6297 3.6297 17.8217 90.00 90.00 90.00
With the nearest neighbours (Å) after each atom.
Positions (direct):
Dy: 0.0000 0.0000 0.1970  8 Au 2.98-3.16
Dy: 0.0000 0.0000 0.3987  8 Au 3.10-3.14
Dy: 0.0000 0.0000 0.6013  8 Au 3.10-3.14
Dy: 0.0000 0.0000 0.8030  8 Au 2.98-3.16
Pb: 0.0000 0.0000 0.0000  8 Au 3.25, 2 Dy 3.51, 4 Pb 3.63
Au: 0.5000 0.5000 0.1119  4 Dy 2.98, 4 Pb 3.25
Au: 0.5000 0.5000 0.3007  8 Dy 3.10-3.16, 1 Au 3.36
Au: 0.5000 0.5000 0.5000  8 Dy 3.14
Au: 0.5000 0.5000 0.6993  8 Dy 3.10-3.16, 1 Au 3.36
Au: 0.5000 0.5000 0.8881  4 Dy 2.98, 4 Pb 3.25

***

15.
Compound: CuRu2Br
Source: Alexandria via LeMat-Bulk
Functional: PBE
Structure: optimized geometry

Energy above the most stable polymorph in this dataset ... 29.0 kJ/mol of atoms
Formation energy from raw total energies ... 0.747 eV/atom
Crystal system ... monoclinic

Lattice parameters (Å, degrees): 4.4261 4.4261 4.9779 79.05 79.05 38.92
With the nearest neighbours (Å) after each atom.
Positions (direct):
Br: 0.7500 0.7500 0.7500  6 Ru 2.69-2.70, 4 Cu 2.89, 2 Br 2.95
Cu: 0.2500 0.2500 0.2500  6 Ru 2.58-2.62
Ru: 0.9995 0.9995 0.0209  3 Cu 2.58-2.62, 3 Br 2.69-2.70, 2 Ru 2.72
Ru: 0.5005 0.5005 0.4791  3 Cu 2.58-2.62, 3 Br 2.69-2.70, 2 Ru 2.72

***

16.
Compound: Er6Bi2Sb3Te
Source: Alexandria via LeMat-Bulk
Functional: PBE
Structure: optimized geometry

Formation energy from raw total energies ... -1.051 eV/atom
Crystal system ... monoclinic

Lattice parameters (Å, degrees): 4.3785 8.7636 9.7820 102.93 102.93 90.00
With the nearest neighbours (Å) after each atom.
Positions (direct):
Er: 0.3312 0.9203 0.6623  3 Sb 3.06-3.07, 2 Bi 3.12, 1 Te 3.13
Er: 0.6652 0.5868 0.3304  3 Sb 3.07-3.08, 3 Bi 3.13
Er: 0.6688 0.0797 0.3377  3 Sb 3.06-3.07, 2 Bi 3.12, 1 Te 3.13
Er: 0.9986 0.2567 0.9972  3 Sb 3.05, 1 Bi 3.11, 2 Te 3.14
Er: 0.0014 0.7433 0.0028  3 Sb 3.05, 1 Bi 3.11, 2 Te 3.14
Er: 0.3348 0.4132 0.6696  3 Sb 3.07-3.08, 3 Bi 3.13
Bi: 0.8337 0.6680 0.6675  6 Er 3.11-3.13
Bi: 0.1663 0.3320 0.3325  6 Er 3.11-3.13
Sb: 0.5000 0.5000 0.0000  6 Er 3.05-3.07
Sb: 0.8342 0.1664 0.6683  6 Er 3.05-3.08
Sb: 0.1658 0.8336 0.3317  6 Er 3.05-3.08
Te: 0.5000 0.0000 0.0000  6 Er 3.13-3.14

***

17.
Compound: LaTl2SbRh
Source: Alexandria via LeMat-Bulk
Functional: PBE
Structure: optimized geometry

Formation energy from raw total energies ... -0.393 eV/atom
Crystal system ... tetragonal

Lattice parameters (Å, degrees): 5.2405 5.2405 5.4076 90.00 90.00 90.00
With the nearest neighbours (Å) after each atom.
Positions (direct):
Sb: 0.5000 0.5000 0.5000  4 La 3.71, 8 Tl 3.77
Tl: 0.0000 0.5000 0.0000  2 Rh 2.62
Tl: 0.5000 0.0000 0.0000  2 Rh 2.62
Rh: 0.0000 0.0000 0.0000  4 Tl 2.62, 2 La 2.70
La: 0.0000 0.0000 0.5000  2 Rh 2.70

***

18.
Compound: Si2AgCl
Source: Alexandria via LeMat-Bulk
Functional: PBE
Structure: optimized geometry

Energy above the most stable polymorph in this dataset ... 60.1 kJ/mol of atoms
Formation energy from raw total energies ... 0.647 eV/atom
Crystal system ... cubic

Lattice parameters (Å, degrees): 4.6546 4.6546 4.6546 60.00 60.00 60.00
With the nearest neighbours (Å) after each atom.
Positions (direct):
Si: 0.2500 0.2500 0.2500  4 Ag 2.85, 4 Cl 2.85
Si: 0.7500 0.7500 0.7500  4 Ag 2.85, 4 Cl 2.85
Ag: 0.5000 0.5000 0.5000  8 Si 2.85
Cl: 0.0000 0.0000 0.0000  8 Si 2.85

***

19.
Compound: PmHfBi2
Source: Alexandria via LeMat-Bulk
Functional: PBE
Structure: optimized geometry

Energy above the most stable polymorph in this dataset ... 3.5 kJ/mol of atoms
Formation energy ... -1.1 eV/f.u.
Crystal system ... cubic

Lattice parameters (Å, degrees): 5.3734 5.3734 5.3734 60.00 60.00 60.00
With the nearest neighbours (Å) after each atom.
Positions (direct):
Hf: 0.5000 0.5000 0.5000  8 Bi 3.29
Bi: 0.2500 0.2500 0.2500  4 Hf 3.29, 4 Pm 3.29
Bi: 0.7500 0.7500 0.7500  4 Hf 3.29, 4 Pm 3.29
Pm: 0.0000 0.0000 0.0000  8 Bi 3.29

***

20.
Compound: CeDyNi2As2
Source: Alexandria via LeMat-Bulk
Functional: PBE
Structure: optimized geometry

Formation energy ... -6.3 eV/f.u.
Crystal system ... trigonal

Lattice parameters (Å, degrees): 4.0725 4.0725 7.8385 90.00 90.00 120.00
With the nearest neighbours (Å) after each atom.
Positions (direct):
Ce: 0.0000 0.0000 0.0000  6 Ni 3.01, 6 As 3.11
Dy: 0.0000 0.0000 0.5000  6 As 3.01, 6 Ni 3.11
Ni: 0.6667 0.3333 0.2402  3 As 2.36
Ni: 0.3333 0.6667 0.7598  3 As 2.36
As: 0.6667 0.3333 0.7394  3 Ni 2.36
As: 0.3333 0.6667 0.2606  3 Ni 2.36